# GGA-PBE Y3NbCd, relaxed
data_Y3NbCd
_chemical_formula_sum 'Y3 Nb1 Cd1'
_cell_length_a 5.5606
_cell_length_b 5.5606
_cell_length_c 5.5606
_cell_angle_alpha 90.00
_cell_angle_beta 90.00
_cell_angle_gamma 90.00
_space_group_name_H-M_alt 'P m -3 m'
_space_group_IT_number 221
_space_group_name_Hall '-P 4 2 3'
loop_
_atom_site_label
_atom_site_type_symbol
_atom_site_fract_x
_atom_site_fract_y
_atom_site_fract_z
Y1 Y 0.0000 0.0000 0.5000
Nb1 Nb 0.5000 0.5000 0.5000
Cd1 Cd 0.0000 0.0000 0.0000
# Energy of formation, eV per atom: 0.962
# Excess energy over the best structure of this formula in the dataset, meV per atom: 456

=====

# GGA-PBE Y2NbCd, relaxed
data_Y2NbCd
_chemical_formula_sum 'Y8 Nb4 Cd4'
_cell_length_a 4.4491
_cell_length_b 4.4491
_cell_length_c 21.0543
_cell_angle_alpha 90.00
_cell_angle_beta 90.00
_cell_angle_gamma 90.00
_space_group_name_H-M_alt 'I -4 2 d'
_space_group_IT_number 122
_space_group_name_Hall 'I -4 2bw'
loop_
_atom_site_label
_atom_site_type_symbol
_atom_site_fract_x
_atom_site_fract_y
_atom_site_fract_z
Y1 Y 0.2440 0.2500 0.1250
Nb1 Nb 0.0000 0.0000 0.0000
Cd1 Cd 0.0000 0.0000 0.5000
# Energy of formation, eV per atom: 0.604

=====

# GGA-PBE YNbCd2, relaxed
data_YNbCd2
_chemical_formula_sum 'Y4 Nb4 Cd8'
_cell_length_a 4.2555
_cell_length_b 4.2555
_cell_length_c 21.8501
_cell_angle_alpha 90.00
_cell_angle_beta 90.00
_cell_angle_gamma 90.00
_space_group_name_H-M_alt 'I -4 2 d'
_space_group_IT_number 122
_space_group_name_Hall 'I -4 2bw'
loop_
_atom_site_label
_atom_site_type_symbol
_atom_site_fract_x
_atom_site_fract_y
_atom_site_fract_z
Y1 Y 0.0000 0.0000 0.0000
Nb1 Nb 0.0000 0.0000 0.5000
Cd1 Cd 0.2262 0.2500 0.6250
# Energy of formation, eV per atom: 0.538
# Excess energy over the best structure of this formula in the dataset, meV per atom: 412

=====

# GGA-PBE Y2NbCd, relaxed
data_Y2NbCd
_chemical_formula_sum 'Y6 Nb3 Cd3'
_cell_length_a 3.2094
_cell_length_b 3.2094
_cell_length_c 34.5185
_cell_angle_alpha 90.00
_cell_angle_beta 90.00
_cell_angle_gamma 120.00
_space_group_name_H-M_alt 'R -3 m'
_space_group_IT_number 166
_space_group_name_Hall '-R 3 2"'
loop_
_atom_site_label
_atom_site_type_symbol
_atom_site_fract_x
_atom_site_fract_y
_atom_site_fract_z
Y1 Y 0.0000 0.0000 0.0861
Nb1 Nb 0.0000 0.0000 0.0000
Cd1 Cd 0.0000 0.0000 0.5000
# Energy of formation, eV per atom: 0.487